This record from the Alexandria database describes a geometry-optimized Ca2SF structure. The functional is GGA-PBE.

a = 4.718 Å, b = 4.718 Å, c = 4.718 Å
α = 60.00°, β = 60.00°, γ = 60.00°
Element x y z (fractional)
Ca1 0.250 0.250 0.250
Ca2 0.750 0.750 0.750
S1 0.000 0.000 0.000
F1 0.500 0.500 0.500

## Properties
Energy above the most stable polymorph in this dataset in meV per atom: 232



This record from the Alexandria database describes a geometry-optimized CaSF3 structure. The functional is GGA-PBE.

a = 4.461 Å, b = 4.461 Å, c = 4.461 Å
α = 90.00°, β = 90.00°, γ = 90.00°
Element x y z (fractional)
Ca1 0.000 0.000 0.000
S1 0.500 0.500 0.500
F1 0.000 0.000 0.500
F2 0.000 0.500 0.000
F3 0.500 0.000 0.000

## Properties
Energy above the most stable polymorph in this dataset in meV per atom: 0



This record from the Alexandria database describes a geometry-optimized Ca2SeSF structure. The functional is GGA-PBE.

a = 5.382 Å, b = 5.382 Å, c = 4.331 Å
α = 90.00°, β = 90.00°, γ = 90.00°
Element x y z (fractional)
Ca1 0.000 0.500 0.000
Ca2 0.500 0.000 0.000
Se1 0.000 0.000 0.000
S1 0.500 0.500 0.500
F1 0.000 0.000 0.500



Q: Which formation energy without anion corrections values were calculated for the entries above? A: -1931.0 -1988.3 -1415.0, in meV per atom.
Q: Which V values were calculated for the entries above? A: 74.24 88.78 125.44, in Å³/cell.
Q: Which magnetization values were calculated for the entries above? A: 0.7 3.0 0.0, in μB per cell.